No. 1
This record from Alexandria describes an optimized crystal structure of Sc2CrHgH. The functional is PBE-GGA.

Structure (CIF):
```
data_Sc2CrHgH
_symmetry_space_group_name_H-M 'P 4/m m m'
_symmetry_Int_Tables_number 123
_symmetry_space_group_name_Hall '-P 4 2'
_cell_length_a 4.6499
_cell_length_b 4.6499
_cell_length_c 3.7844
_cell_angle_alpha 90.00
_cell_angle_beta 90.00
_cell_angle_gamma 90.00
loop_
_atom_site_label
_atom_site_fract_x
_atom_site_fract_y
_atom_site_fract_z
_atom_site_occupancy
Sc1 0.0000 0.5000 0.0000 1
Cr1 0.0000 0.0000 0.5000 1
Hg1 0.5000 0.5000 0.5000 1
H1 0.0000 0.0000 0.0000 1
```

Results
Total energy   -5.346 eV per atom
N(E_F)   4.3 states/eV/f.u.


No. 2
This record from Alexandria describes an optimized crystal structure of LaIn2Ag. The functional is PBE-GGA.

Structure (CIF):
```
data_LaIn2Ag
_symmetry_space_group_name_H-M 'R -3 m'
_symmetry_Int_Tables_number 166
_symmetry_space_group_name_Hall '-R 3 2"'
_cell_length_a 4.7567
_cell_length_b 4.7567
_cell_length_c 16.4443
_cell_angle_alpha 90.00
_cell_angle_beta 90.00
_cell_angle_gamma 120.00
loop_
_atom_site_label
_atom_site_fract_x
_atom_site_fract_y
_atom_site_fract_z
_atom_site_occupancy
La1 0.0000 0.0000 0.0000 1
In1 0.0000 0.0000 0.2199 1
Ag1 0.0000 0.0000 0.5000 1
```

Results
N(E_F)   2.2 states/eV/f.u.
E_form   -352 meV per atom


No. 3
This record from Alexandria describes an optimized crystal structure of Li2ZrPd6. The functional is PBE-GGA.

Structure (CIF):
```
data_Li2ZrPd6
_symmetry_space_group_name_H-M 'I m m m'
_symmetry_Int_Tables_number 71
_symmetry_space_group_name_Hall '-I 2 2'
_cell_length_a 4.1481
_cell_length_b 5.4394
_cell_length_c 12.9945
_cell_angle_alpha 90.00
_cell_angle_beta 90.00
_cell_angle_gamma 90.00
loop_
_atom_site_label
_atom_site_fract_x
_atom_site_fract_y
_atom_site_fract_z
_atom_site_occupancy
Li1 0.0000 0.0000 0.1725 1
Zr1 0.0000 0.5000 0.0000 1
Pd1 0.0000 0.2500 0.3956 1
Pd2 0.0000 0.5000 0.2085 1
```

Results
N(E_F)   3.8 states/eV/f.u.
E_form   -405 meV per atom


No. 4
This record from Alexandria describes an optimized crystal structure of CsSrCuBi2. The functional is PBE-GGA.

Structure (CIF):
```
data_CsSrCuBi2
_symmetry_space_group_name_H-M 'P 4/m m m'
_symmetry_Int_Tables_number 123
_symmetry_space_group_name_Hall '-P 4 2'
_cell_length_a 6.3299
_cell_length_b 6.3299
_cell_length_c 6.3025
_cell_angle_alpha 90.00
_cell_angle_beta 90.00
_cell_angle_gamma 90.00
loop_
_atom_site_label
_atom_site_fract_x
_atom_site_fract_y
_atom_site_fract_z
_atom_site_occupancy
Cs1 0.0000 0.0000 0.0000 1
Sr1 0.0000 0.0000 0.5000 1
Cu1 0.5000 0.5000 0.5000 1
Bi1 0.0000 0.5000 0.0000 1
```

Results
N(E_F)   3.9 states/eV/f.u.
E_form   1292 meV per atom


No. 5
This record from Alexandria describes an optimized crystal structure of K6TlHg12. The functional is PBE-GGA.

Structure (CIF):
```
data_K6TlHg12
_symmetry_space_group_name_H-M 'R -3'
_symmetry_Int_Tables_number 148
_symmetry_space_group_name_Hall '-R 3'
_cell_length_a 14.1889
_cell_length_b 14.1889
_cell_length_c 11.3161
_cell_angle_alpha 90.00
_cell_angle_beta 90.00
_cell_angle_gamma 120.00
loop_
_atom_site_label
_atom_site_fract_x
_atom_site_fract_y
_atom_site_fract_z
_atom_site_occupancy
K1 0.0442 0.8462 0.2503 1
Tl1 0.0000 0.0000 0.5000 1
Hg1 0.0575 0.8041 0.5614 1
Hg2 0.0617 0.8243 0.9406 1
```

Results
N(E_F)   11.6 states/eV/f.u.
E_form   -185 meV per atom


No. 6
This record from Alexandria describes an optimized crystal structure of RbNiAs. The functional is PBE-GGA.

Structure (CIF):
```
data_RbNiAs
_symmetry_space_group_name_H-M 'P -6 m 2'
_symmetry_Int_Tables_number 187
_symmetry_space_group_name_Hall 'P -6 2'
_cell_length_a 4.0033
_cell_length_b 4.0033
_cell_length_c 5.6425
_cell_angle_alpha 90.00
_cell_angle_beta 90.00
_cell_angle_gamma 120.00
loop_
_atom_site_label
_atom_site_fract_x
_atom_site_fract_y
_atom_site_fract_z
_atom_site_occupancy
Rb1 0.0000 0.0000 0.0000 1
Ni1 0.6667 0.3333 0.5000 1
As1 0.3333 0.6667 0.5000 1
```

Results
N(E_F)   3.6 states/eV/f.u.
E_form   -182 meV per atom


No. 7
This record from Alexandria describes an optimized crystal structure of CoReBr2. The functional is PBE-GGA.

Structure (CIF):
```
data_CoReBr2
_symmetry_space_group_name_H-M 'I m m 2'
_symmetry_Int_Tables_number 44
_symmetry_space_group_name_Hall 'I 2 -2'
_cell_length_a 3.1905
_cell_length_b 4.7350
_cell_length_c 11.8938
_cell_angle_alpha 90.00
_cell_angle_beta 90.00
_cell_angle_gamma 90.00
loop_
_atom_site_label
_atom_site_fract_x
_atom_site_fract_y
_atom_site_fract_z
_atom_site_occupancy
Co1 0.0000 0.0000 0.0000 1
Re1 0.0000 0.5000 0.6458 1
Br1 0.0000 0.0000 0.3285 1
Br2 0.0000 0.5000 0.1177 1
```

Results
N(E_F)   2.7 states/eV/f.u.
Raw formation energy   3.683 eV per formula unit
Relative energy among the computed polymorphs   0.613 eV per atom


No. 8
This record from Alexandria describes an optimized crystal structure of Y3FeW. The functional is PBE-GGA.

Structure (CIF):
```
data_Y3FeW
_symmetry_space_group_name_H-M 'P m -3 m'
_symmetry_Int_Tables_number 221
_symmetry_space_group_name_Hall '-P 4 2 3'
_cell_length_a 5.0921
_cell_length_b 5.0921
_cell_length_c 5.0921
_cell_angle_alpha 90.00
_cell_angle_beta 90.00
_cell_angle_gamma 90.00
loop_
_atom_site_label
_atom_site_fract_x
_atom_site_fract_y
_atom_site_fract_z
_atom_site_occupancy
Y1 0.0000 0.0000 0.5000 1
Fe1 0.0000 0.0000 0.0000 1
W1 0.5000 0.5000 0.5000 1
```

Results
N(E_F)   8.5 states/eV/f.u.
E_form   865 meV per atom
Relative energy among the computed polymorphs   0.000 eV per atom


No. 9
This record from Alexandria describes an optimized crystal structure of LaSm2In3. The functional is PBE-GGA.

Structure (CIF):
```
data_LaSm2In3
_symmetry_space_group_name_H-M 'P 4/m m m'
_symmetry_Int_Tables_number 123
_symmetry_space_group_name_Hall '-P 4 2'
_cell_length_a 3.8588
_cell_length_b 3.8588
_cell_length_c 11.6973
_cell_angle_alpha 90.00
_cell_angle_beta 90.00
_cell_angle_gamma 90.00
loop_
_atom_site_label
_atom_site_fract_x
_atom_site_fract_y
_atom_site_fract_z
_atom_site_occupancy
La1 0.0000 0.0000 0.0000 1
Sm1 0.0000 0.0000 0.3381 1
In1 0.5000 0.5000 0.1772 1
In2 0.5000 0.5000 0.5000 1
```

Results
N(E_F)   4.0 states/eV/f.u.
E_form   -501 meV per atom
Relative energy among the computed polymorphs   0.000 eV per atom


No. 10
This record from Alexandria describes an optimized crystal structure of Li6NbN4. The functional is PBE-GGA.

Structure (CIF):
```
data_Li6NbN4
_symmetry_space_group_name_H-M 'P 42/n m c'
_symmetry_Int_Tables_number 137
_cell_length_a 6.8125
_cell_length_b 6.8125
_cell_length_c 4.9726
_cell_angle_alpha 90.00
_cell_angle_beta 90.00
_cell_angle_gamma 90.00
loop_
_symmetry_equiv_pos_as_xyz
'x,y,z'
'-x,-y,-z'
'-y+1/2,x,z+1/2'
'y+1/2,-x,-z+1/2'
'-x+1/2,-y+1/2,z'
'x+1/2,y+1/2,-z'
'y,-x+1/2,z+1/2'
'-y,x+1/2,-z+1/2'
'x+1/2,-y,-z'
'-x+1/2,y,z'
'-y,-x,-z+1/2'
'y,x,z+1/2'
'-x,y+1/2,-z'
'x,-y+1/2,z'
'y+1/2,x+1/2,-z+1/2'
'-y+1/2,-x+1/2,z+1/2'
loop_
_atom_site_label
_atom_site_fract_x
_atom_site_fract_y
_atom_site_fract_z
_atom_site_occupancy
Li1 0.0396 0.5396 0.2500 1
Li2 0.2500 0.2500 0.1808 1
Nb1 0.2500 0.7500 0.7500 1
N1 0.0013 0.7500 0.5466 1
```

Results
N(E_F)   5.9 states/eV/f.u.
Raw formation energy   -7.178 eV per formula unit


No. 11
This record from Alexandria describes an optimized crystal structure of SiTePt2. The functional is PBE-GGA.

Structure (CIF):
```
data_SiTePt2
_symmetry_space_group_name_H-M 'P 1 m 1'
_symmetry_Int_Tables_number 6
_symmetry_space_group_name_Hall 'P -2y'
_cell_length_a 4.0455
_cell_length_b 4.5517
_cell_length_c 4.4030
_cell_angle_alpha 90.00
_cell_angle_beta 93.29
_cell_angle_gamma 90.00
loop_
_atom_site_label
_atom_site_fract_x
_atom_site_fract_y
_atom_site_fract_z
_atom_site_occupancy
Si1 0.0000 0.0000 0.0000 1
Te1 0.3189 0.5000 0.5451 1
Pt1 0.5117 0.0000 0.2876 1
Pt2 0.8150 0.5000 0.0068 1
```

Results
N(E_F)   1.4 states/eV/f.u.
Raw formation energy   -0.925 eV per formula unit
Relative energy among the computed polymorphs   0.157 eV per atom


No. 12
This record from Alexandria describes an optimized crystal structure of Sm4Dy9Tl11. The functional is PBE-GGA.

Structure (CIF):
```
data_Sm4Dy9Tl11
_symmetry_space_group_name_H-M 'C m m m'
_symmetry_Int_Tables_number 65
_symmetry_space_group_name_Hall '-C 2 2'
_cell_length_a 16.2565
_cell_length_b 23.1491
_cell_length_c 3.5844
_cell_angle_alpha 90.00
_cell_angle_beta 90.00
_cell_angle_gamma 90.00
loop_
_atom_site_label
_atom_site_fract_x
_atom_site_fract_y
_atom_site_fract_z
_atom_site_occupancy
Sm1 0.1681 0.0815 0.0000 1
Dy1 0.0000 0.0000 0.0000 1
Dy2 0.1086 0.4055 0.0000 1
Dy3 0.1136 0.2267 0.0000 1
Tl1 0.0000 0.1238 0.5000 1
Tl2 0.0000 0.3127 0.5000 1
Tl3 0.0000 0.5000 0.5000 1
Tl4 0.2080 0.5000 0.5000 1
Tl5 0.2282 0.3189 0.5000 1
```

Results
N(E_F)   23.5 states/eV/f.u.
E_form   -274 meV per atom


Q: Which formula does entry 12 have?
A: Sm4Dy9Tl11